Compound: Ac2LaPr
Source: Alexandria
Functional: PBE
Structure: relaxed

## Properties
DFT total energy   -4.467 eV/atom
Distance to the lowest polymorph of the same formula   0 meV/atom
Magnetization   0.00 μB per cell

The structure in CIF format:
```
data_Ac2LaPr
_space_group_name_H-M_alt 'P 4/m m m'
_space_group_IT_number 123
_space_group_name_Hall '-P 4 2'
_cell_length_a 5.476
_cell_length_b 5.476
_cell_length_c 5.389
_cell_angle_alpha 90.00
_cell_angle_beta 90.00
_cell_angle_gamma 90.00
loop_
_atom_site_label
_atom_site_fract_x
_atom_site_fract_y
_atom_site_fract_z
Ac1 0.000 0.500 0.000
La1 0.000 0.000 0.500
Pr1 0.500 0.500 0.500
```



Compound: V3Mo2W
Source: Alexandria
Functional: PBE
Structure: relaxed

## Properties
DFT total energy   -10.443 eV/atom
Magnetization   0.00 μB per cell

The structure in CIF format:
```
data_V3Mo2W
_space_group_name_H-M_alt 'P 4/m m m'
_space_group_IT_number 123
_space_group_name_Hall '-P 4 2'
_cell_length_a 3.076
_cell_length_b 3.076
_cell_length_c 9.230
_cell_angle_alpha 90.00
_cell_angle_beta 90.00
_cell_angle_gamma 90.00
loop_
_atom_site_label
_atom_site_fract_x
_atom_site_fract_y
_atom_site_fract_z
V1 0.000 0.000 0.000
V2 0.000 0.000 0.332
Mo1 0.500 0.500 0.166
W1 0.500 0.500 0.500
```



Compound: LaTbLuCd
Source: Alexandria
Functional: PBE
Structure: relaxed

## Properties
DFT total energy   -3.807 eV/atom
Magnetization   0.02 μB per cell

The structure in CIF format:
```
data_LaTbLuCd
_space_group_name_H-M_alt 'F -4 3 m'
_space_group_IT_number 216
_space_group_name_Hall 'F -4 2 3'
_cell_length_a 7.811
_cell_length_b 7.811
_cell_length_c 7.811
_cell_angle_alpha 90.00
_cell_angle_beta 90.00
_cell_angle_gamma 90.00
loop_
_atom_site_label
_atom_site_fract_x
_atom_site_fract_y
_atom_site_fract_z
La1 0.000 0.000 0.000
Tb1 0.000 0.000 0.500
Lu1 0.250 0.250 0.250
Cd1 0.250 0.250 0.750
```



Compound: Cd3InW
Source: Alexandria
Functional: PBE
Structure: relaxed

## Properties
DFT total energy   -2.128 eV/atom
Distance to the lowest polymorph of the same formula   462 meV/atom
Magnetization   5.00 μB per cell

The structure in CIF format:
```
data_Cd3InW
_space_group_name_H-M_alt 'P m -3 m'
_space_group_IT_number 221
_space_group_name_Hall '-P 4 2 3'
_cell_length_a 5.390
_cell_length_b 5.390
_cell_length_c 5.390
_cell_angle_alpha 90.00
_cell_angle_beta 90.00
_cell_angle_gamma 90.00
loop_
_atom_site_label
_atom_site_fract_x
_atom_site_fract_y
_atom_site_fract_z
Cd1 0.000 0.000 0.500
In1 0.000 0.000 0.000
W1 0.500 0.500 0.500
```